The following is a DFT calculation (PBE) of a geometry-optimized LaZn3Ir2 structure.

M_tot ... 0.0 Bohr magnetons per cell
Energy of formation ... -10 kJ per mole of atoms
DFT total energy ... -54.1 eV per cell

Cell lengths 7.687, 7.687, 7.687 Å; angles 46.55, 46.55, 46.55 degrees
Element x y z (fractional)
La 0.223 0.223 0.223
La 0.777 0.777 0.777
Zn 0.254 0.727 0.727
Zn 0.273 0.273 0.746
Zn 0.273 0.746 0.273
Zn 0.727 0.254 0.727
Zn 0.727 0.727 0.254
Zn 0.746 0.273 0.273
Ir 0.000 0.000 0.000
Ir 0.000 0.500 0.500
Ir 0.500 0.000 0.500
Ir 0.500 0.500 0.000

The following is a DFT calculation (PBE) of a geometry-optimized LaZn4Ir structure.

ΔE to the lowest computed polymorph ... 0 meV/atom
M_tot ... 0.0 Bohr magnetons per cell
Energy of formation ... -29 kJ per mole of atoms
DFT total energy ... -20.7 eV per cell

Cell lengths 5.255, 5.255, 5.255 Å; angles 60.00, 60.00, 60.00 degrees
Element x y z (fractional)
La 0.000 0.000 0.000
Zn 0.131 0.623 0.623
Zn 0.623 0.131 0.623
Zn 0.623 0.623 0.131
Zn 0.623 0.623 0.623
Ir 0.250 0.250 0.250

The following is a DFT calculation (PBE) of a geometry-optimized LaZn2Ir2 structure.

ΔE to the lowest computed polymorph ... 126 meV/atom
M_tot ... 0.0 Bohr magnetons per cell
Energy of formation ... -37 kJ per mole of atoms
DFT total energy ... -27.1 eV per cell

Cell lengths 5.667, 5.667, 5.667 Å; angles 133.22, 133.22, 68.31 degrees
Element x y z (fractional)
La 0.000 0.000 0.000
Zn 0.369 0.369 0.000
Zn 0.631 0.631 0.000
Ir 0.250 0.750 0.500
Ir 0.750 0.250 0.500

The following is a DFT calculation (PBE) of a geometry-optimized LaZrZnIr2 structure.

M_tot ... 0.0 Bohr magnetons per cell
Energy of formation ... -65 kJ per mole of atoms
DFT total energy ... -35.8 eV per cell

Cell lengths 6.698, 6.698, 6.698 Å; angles 143.76, 143.76, 52.19 degrees
Element x y z (fractional)
La 0.000 0.000 0.000
Zr 0.250 0.750 0.500
Zn 0.750 0.250 0.500
Ir 0.391 0.391 0.000
Ir 0.609 0.609 0.000

The following is a DFT calculation (PBE) of a geometry-optimized La2ZrIr structure.

ΔE to the lowest computed polymorph ... 250 meV/atom
M_tot ... 0.0 Bohr magnetons per cell
Energy of formation ... -6 kJ per mole of atoms
DFT total energy ... -27.5 eV per cell

Cell lengths 5.136, 5.136, 3.788 Å; angles 90.00, 90.00, 90.00 degrees
Element x y z (fractional)
La 0.000 0.500 0.000
La 0.500 0.000 0.000
Zr 0.000 0.000 0.500
Ir 0.500 0.500 0.500

The following is a DFT calculation (PBE) of a geometry-optimized La2ZrIr structure.

ΔE to the lowest computed polymorph ... 365 meV/atom
M_tot ... 0.0 Bohr magnetons per cell
Energy of formation ... 5 kJ per mole of atoms
DFT total energy ... -27.0 eV per cell

Cell lengths 5.848, 5.848, 3.367 Å; angles 101.91, 101.91, 115.76 degrees
Element x y z (fractional)
La 0.000 0.500 0.000
La 0.500 0.000 0.000
Zr 0.000 0.000 0.500
Ir 0.500 0.500 0.500

Copy entry 6 word for word.
The following is a DFT calculation (PBE) of a geometry-optimized La2ZrIr structure.

ΔE to the lowest computed polymorph ... 365 meV/atom
M_tot ... 0.0 Bohr magnetons per cell
Energy of formation ... 5 kJ per mole of atoms
DFT total energy ... -27.0 eV per cell

Cell lengths 5.848, 5.848, 3.367 Å; angles 101.91, 101.91, 115.76 degrees
Element x y z (fractional)
La 0.000 0.500 0.000
La 0.500 0.000 0.000
Zr 0.000 0.000 0.500
Ir 0.500 0.500 0.500